# PBE MgAl2Au8, relaxed
data_MgAl2Au8
_symmetry_space_group_name_H-M 'P -1'
_symmetry_Int_Tables_number 2
_cell_length_a 5.0641
_cell_length_b 5.7527
_cell_length_c 7.5846
_cell_angle_alpha 107.19
_cell_angle_beta 106.63
_cell_angle_gamma 98.13
loop_
_symmetry_equiv_pos_as_xyz
'x,y,z'
'-x,-y,-z'
loop_
_atom_site_label
_atom_site_type_symbol
_atom_site_fract_x
_atom_site_fract_y
_atom_site_fract_z
Mg1 Mg 0.0000 0.0000 0.0000
Al1 Al 0.2797 0.3666 0.6834
Au1 Au 0.1865 0.9548 0.3784
Au2 Au 0.2156 0.4482 0.3470
Au3 Au 0.2827 0.6261 0.0326
Au4 Au 0.3651 0.8697 0.7633
# Energy of formation in eV per atom: -0.314
# E above lowest polymorph in meV per atom: 4
# Final energy in eV per atom: -3.5227
# M_tot in μB/cell: 0.000



# PBE MgAl5Au6, relaxed
data_MgAl5Au6
_symmetry_space_group_name_H-M 'C m m m'
_symmetry_Int_Tables_number 65
_symmetry_space_group_name_Hall '-C 2 2'
_cell_length_a 4.8976
_cell_length_b 13.7165
_cell_length_c 6.0420
_cell_angle_alpha 90.00
_cell_angle_beta 90.00
_cell_angle_gamma 90.00
loop_
_atom_site_label
_atom_site_type_symbol
_atom_site_fract_x
_atom_site_fract_y
_atom_site_fract_z
Mg1 Mg 0.0000 0.0000 0.0000
Al1 Al 0.0000 0.0000 0.5000
Al2 Al 0.0000 0.3356 0.0000
Al3 Al 0.0000 0.3362 0.5000
Au1 Au 0.0000 0.1713 0.2520
Au2 Au 0.0000 0.5000 0.2521
# Energy of formation in eV per atom: -0.337
# Final energy in eV per atom: -3.6675
# M_tot in μB/cell: 0.000



# PBE MgAlAu3, relaxed
data_MgAlAu3
_symmetry_space_group_name_H-M 'P m -3 m'
_symmetry_Int_Tables_number 221
_symmetry_space_group_name_Hall '-P 4 2 3'
_cell_length_a 4.8301
_cell_length_b 4.8301
_cell_length_c 4.8301
_cell_angle_alpha 90.00
_cell_angle_beta 90.00
_cell_angle_gamma 90.00
loop_
_atom_site_label
_atom_site_type_symbol
_atom_site_fract_x
_atom_site_fract_y
_atom_site_fract_z
Mg1 Mg 0.0000 0.0000 0.0000
Al1 Al 0.5000 0.5000 0.5000
Au1 Au 0.0000 0.5000 0.5000
# Energy of formation in eV per atom: 0.039
# E above lowest polymorph in meV per atom: 455
# Final energy in eV per atom: -2.9951
# M_tot in μB/cell: 0.000